## NaRuF2 (PBE)

Data for NaRuF2 after structural relaxation.

a b c (Å): 4.204 4.204 4.204
angles (deg): 60.00 60.00 60.00
Element x y z (fractional)
Ru: 0.500 0.500 0.500
F: 0.250 0.250 0.250
F: 0.750 0.750 0.750
Na: 0.000 0.000 0.000

Calculated values
Distance to the lowest polymorph of the same formula in meV/atom: 685
Formation energy from raw total energies in eV/f.u.: -3.5
Fermi-level density of states in states/eV/cell: 5.60
SG: Fm-3m, No. 225